First-principles (PBE) data for a geometry-optimized NbSnN2O structure, as listed in Alexandria via LeMat-Bulk.

Cell: 4.0807 4.0807 3.9388 Å, 90.00 90.00 90.00°
Closest atoms and distances in Å follow each position.
Fractional positions:
N (0.0000, 0.5000, 0.0000)  2 Sn 2.04
N (0.5000, 0.0000, 0.0000)  2 Sn 2.04
Nb (0.5000, 0.5000, 0.5000)  8 N 2.84, 4 O 2.89
Sn (0.0000, 0.0000, 0.0000)  2 O 1.97, 4 N 2.04
O (0.0000, 0.0000, 0.5000)  2 Sn 1.97

Results
Uncorrected formation energy = 0.62 eV per atom
SG = No. 123
E_tot = -32.60 eV per cell
Magnetization = 1.1 Bohr magnetons per cell